The following is a SCAN calculation of FeClO at its PBEsol-relaxed geometry, from Alexandria.

ΔE_f (raw) = -3.8 eV per formula unit
total DFT energy (no corrections) = -12.0593 eV/atom
magnetization = 5.00 μB per formula unit
DOS at the Fermi energy = 0.196 states/eV per atom

Cell and atoms, written as CIF:
```
data_FeClO
_space_group_name_H-M_alt 'P m m n'
_space_group_IT_number 59
_cell_length_a 3.211
_cell_length_b 3.731
_cell_length_c 7.894
_cell_angle_alpha 90.00
_cell_angle_beta 90.00
_cell_angle_gamma 90.00
loop_
_space_group_symop_operation_xyz
'x,y,z'
'-x,-y,-z'
'-x+1/2,-y+1/2,z'
'x+1/2,y+1/2,-z'
'x+1/2,-y,-z'
'-x+1/2,y,z'
'-x,y+1/2,-z'
'x,-y+1/2,z'
loop_
_atom_site_label
_atom_site_type_symbol
_atom_site_fract_x
_atom_site_fract_y
_atom_site_fract_z
Fe1 Fe 0.250 0.250 0.106
Cl1 Cl 0.250 0.750 0.681
O1 O 0.250 0.750 0.069
```